A plane-wave DFT calculation with PBE was carried out for a relaxed structure of SnSe.

Calculated values
Raw total energy (eV per atom): -4.111
SG: Cmcm (63)
Crystal system: orthorhombic

a b c (Å): 6.094 6.094 6.137
angles (deg): 90.00 90.00 141.95
Sites, in units of the cell vectors:
Se 0.171 0.829 0.750
Se 0.829 0.171 0.250
Sn 0.836 0.164 0.750
Sn 0.164 0.836 0.250


A plane-wave DFT calculation with PBE was carried out for a relaxed structure of Sn3Se4.

Calculated values
Density of states at the Fermi level (states/eV/f.u.): 3.4
SG: R-3m (166)
Crystal system: trigonal
Excess energy over the best structure of this formula in the dataset (eV/atom): 0.000

a b c (Å): 4.117 4.117 13.537
angles (deg): 81.25 81.25 60.00
Sites, in units of the cell vectors:
Sn 0.758 0.758 0.727
Sn 0.000 0.000 0.000
Sn 0.242 0.242 0.273
Se 0.873 0.873 0.382
Se 0.127 0.127 0.618
Se 0.625 0.625 0.125
Se 0.375 0.375 0.875


A plane-wave DFT calculation with PBE was carried out for a relaxed structure of Sn5Se.

Calculated values
Density of states at the Fermi level (states/eV/f.u.): 3.0
Raw total energy (eV per atom): -3.921
SG: Cmmm (65)
Crystal system: orthorhombic

a b c (Å): 3.615 5.481 8.491
angles (deg): 108.83 90.00 90.00
Sites, in units of the cell vectors:
Se 0.000 0.000 0.000
Sn 0.000 0.324 0.648
Sn 0.000 0.676 0.352
Sn 0.500 0.848 0.697
Sn 0.500 0.500 0.000
Sn 0.500 0.152 0.303


A plane-wave DFT calculation with PBE was carried out for a relaxed structure of Sr2SnSe.

Calculated values
Density of states at the Fermi level (states/eV/f.u.): 4.9
SG: Fm-3m (225)
Crystal system: cubic
Excess energy over the best structure of this formula in the dataset (eV/atom): 0.043

a b c (Å): 5.643 5.643 5.643
angles (deg): 60.00 60.00 60.00
Sites, in units of the cell vectors:
Se 0.000 0.000 0.000
Sn 0.500 0.500 0.500
Sr 0.750 0.750 0.750
Sr 0.250 0.250 0.250


A plane-wave DFT calculation with PBE was carried out for a relaxed structure of SrSnSe3.

Calculated values
Density of states at the Fermi level (states/eV/f.u.): 2.6
SG: Pm-3m (221)
Crystal system: cubic
Excess energy over the best structure of this formula in the dataset (eV/atom): 0.254

a b c (Å): 5.320 5.320 5.320
angles (deg): 90.00 90.00 90.00
Sites, in units of the cell vectors:
Se 0.500 0.000 0.000
Se 0.000 0.000 0.500
Se 0.000 0.500 0.000
Sn 0.000 0.000 0.000
Sr 0.500 0.500 0.500


A plane-wave DFT calculation with PBE was carried out for a relaxed structure of Sr4SnSe5.

Calculated values
Density of states at the Fermi level (states/eV/f.u.): 0.0
Raw total energy (eV per atom): -4.551
SG: I4 (79)
Crystal system: tetragonal

a b c (Å): 6.279 7.681 7.681
angles (deg): 80.38 65.88 65.88
Sites, in units of the cell vectors:
Sr 0.202 0.198 0.401
Sr 0.801 0.802 0.599
Sr 0.401 0.401 0.802
Sr 0.603 0.599 0.198
Sn 0.020 0.000 0.000
Se 0.472 0.000 0.000
Se 0.705 0.199 0.397
Se 0.904 0.397 0.801
Se 0.102 0.603 0.199
Se 0.301 0.801 0.603


A plane-wave DFT calculation with PBE was carried out for a relaxed structure of SrSnSe3.

Calculated values
Density of states at the Fermi level (states/eV/f.u.): 5.2
SG: Pm-3m (221)
Crystal system: cubic
Excess energy over the best structure of this formula in the dataset (eV/atom): 0.981

a b c (Å): 5.690 5.690 5.690
angles (deg): 90.00 90.00 90.00
Sites, in units of the cell vectors:
Se 0.000 0.000 0.500
Se 0.500 0.000 0.000
Se 0.000 0.500 0.000
Sr 0.000 0.000 0.000
Sn 0.500 0.500 0.500


A plane-wave DFT calculation with PBE was carried out for a relaxed structure of SrSnSe3.

Calculated values
Density of states at the Fermi level (states/eV/f.u.): 0.9
SG: P2_1/m (11)
Crystal system: monoclinic
Excess energy over the best structure of this formula in the dataset (eV/atom): 0.028

a b c (Å): 4.190 8.068 8.539
angles (deg): 96.94 90.00 90.00
Sites, in units of the cell vectors:
Sn 0.250 0.828 0.353
Sn 0.750 0.172 0.647
Se 0.750 0.618 0.414
Se 0.750 0.071 0.332
Se 0.250 0.719 0.055
Se 0.750 0.281 0.945
Se 0.250 0.382 0.586
Se 0.250 0.929 0.668
Sr 0.750 0.634 0.801
Sr 0.250 0.366 0.199


A plane-wave DFT calculation with PBE was carried out for a relaxed structure of Sr2SnSe2.

Calculated values
Density of states at the Fermi level (states/eV/f.u.): 2.3
Raw total energy (eV per atom): -4.166
SG: P4/mbm (127)
Crystal system: tetragonal

a b c (Å): 8.509 8.509 4.062
angles (deg): 90.00 90.00 90.00
Sites, in units of the cell vectors:
Se 0.152 0.348 0.000
Se 0.848 0.652 0.000
Se 0.652 0.152 0.000
Se 0.348 0.848 0.000
Sr 0.343 0.157 0.500
Sr 0.157 0.657 0.500
Sr 0.843 0.343 0.500
Sr 0.657 0.843 0.500
Sn 0.500 0.500 0.000
Sn 0.000 0.000 0.000


A plane-wave DFT calculation with PBE was carried out for a relaxed structure of SrSnSe3.

Calculated values
SG: P2_1/c (14)
Crystal system: monoclinic
Excess energy over the best structure of this formula in the dataset (eV/atom): 0.000

a b c (Å): 6.741 8.532 11.939
angles (deg): 109.16 90.00 90.00
Sites, in units of the cell vectors:
Se 0.598 0.200 0.601
Se 0.222 0.361 0.430
Se 0.563 0.950 0.832
Se 0.722 0.639 0.070
Se 0.402 0.800 0.399
Se 0.098 0.800 0.899
Se 0.278 0.361 0.930
Se 0.937 0.950 0.332
Se 0.778 0.639 0.570
Se 0.437 0.050 0.168
Se 0.063 0.050 0.668
Se 0.902 0.200 0.101
Sn 0.741 0.902 0.012
Sn 0.759 0.902 0.512
Sn 0.259 0.098 0.988
Sn 0.241 0.098 0.488
Sr 0.269 0.701 0.629
Sr 0.769 0.299 0.871
Sr 0.231 0.701 0.129
Sr 0.731 0.299 0.371


A plane-wave DFT calculation with PBE was carried out for a relaxed structure of Sr2SnSe.

Calculated values
Density of states at the Fermi level (states/eV/f.u.): 2.0
SG: I-42d (122)
Crystal system: tetragonal
Excess energy over the best structure of this formula in the dataset (eV/atom): 0.000

a b c (Å): 8.540 8.540 7.226
angles (deg): 53.78 53.78 90.00
Sites, in units of the cell vectors:
Sr 0.159 0.625 0.250
Sr 0.875 0.841 0.750
Sr 0.591 0.125 0.250
Sr 0.375 0.409 0.750
Se 0.250 0.750 0.500
Se 0.500 0.500 0.000
Sn 0.750 0.250 0.500
Sn 0.000 0.000 0.000


A plane-wave DFT calculation with PBE was carried out for a relaxed structure of SrSn2Se4.

Calculated values
Density of states at the Fermi level (states/eV/f.u.): 2.5
Raw total energy (eV per atom): -4.194
SG: Cmcm (63)
Crystal system: orthorhombic

a b c (Å): 4.230 7.044 13.781
angles (deg): 90.00 90.00 107.47
Sites, in units of the cell vectors:
Se 0.500 0.000 0.500
Se 0.225 0.451 0.883
Se 0.775 0.549 0.117
Se 0.775 0.549 0.383
Se 0.500 0.000 0.000
Se 0.931 0.861 0.750
Se 0.225 0.451 0.617
Se 0.069 0.139 0.250
Sr 0.599 0.197 0.750
Sr 0.401 0.803 0.250
Sn 0.135 0.269 0.437
Sn 0.865 0.731 0.937
Sn 0.865 0.731 0.563
Sn 0.135 0.269 0.063